## Hf2Si2W (SCAN)

Data for a crystal of Hf2Si2W relaxed with PBEsol.

Cell and atoms, written as CIF:
```
data_Hf2Si2W
_symmetry_space_group_name_H-M 'P 1'
_symmetry_Int_Tables_number 1
_symmetry_space_group_name_Hall 'P 1'
_cell_length_a 6.6131
_cell_length_b 6.6131
_cell_length_c 3.7117
_cell_angle_alpha 90.00
_cell_angle_beta 90.00
_cell_angle_gamma 90.00
loop_
_atom_site_label
_atom_site_type_symbol
_atom_site_fract_x
_atom_site_fract_y
_atom_site_fract_z
_atom_site_occupancy
Hf1 Hf 0.1742 0.3258 0.0000 1
Hf2 Hf 0.3258 0.8258 0.0000 1
Hf3 Hf 0.6742 0.1742 0.0000 1
Hf4 Hf 0.8258 0.6742 0.0000 1
Si1 Si 0.1282 0.6282 0.5000 1
Si2 Si 0.3718 0.1282 0.5000 1
Si3 Si 0.6282 0.8718 0.5000 1
Si4 Si 0.8718 0.3718 0.5000 1
W1 W 0.0000 0.0000 0.5000 1
W2 W 0.5000 0.5000 0.5000 1
```

Properties
Magnetization   0.00 μB/cell
Fermi-level density of states   0.26 states/eV per atom
Raw formation energy   -698.2 meV/atom
Electronic total energy   -1.6064 hartree per atom